No. 1
Density functional theory data (PBE) for crystalline SmInPtAu at its relaxed geometry.

a = 4.8012 Å, b = 5.1767 Å, c = 5.1763 Å
α = 124.90°, β = 117.63°, γ = 90.00°
With the nearest neighbours (Å) after each atom.
Sites, in units of the cell vectors:
Sm: 0.2516 0.7477 0.5032  4 Pt 2.97-3.10, 4 Au 3.05-3.07
In: 0.7388 0.2616 0.4776  3 Pt 2.83-2.84, 3 Au 2.95-2.96
Pt: 0.0251 0.9745 0.0502  3 In 2.83-2.84, 4 Sm 2.97-3.10
Au: 0.4845 0.5162 0.9690  3 In 2.95-2.96, 4 Sm 3.05-3.07, 3 Pt 3.22

Properties
- DFT formation energy (kJ per mole of atoms) = -74.1
- D(E_F) (states/eV/cell) = 1.8
- magnetization (Bohr magnetons per cell) = 0.000


No. 2
Density functional theory data (PBE) for crystalline MnBeMoPt at its relaxed geometry.

a = 4.1982 Å, b = 4.1982 Å, c = 4.1982 Å
α = 60.00°, β = 60.00°, γ = 60.00°
With the nearest neighbours (Å) after each atom.
Sites, in units of the cell vectors:
Be: 0.0000 0.0000 0.0000  4 Mo 2.57, 4 Pt 2.57
Mo: 0.7500 0.7500 0.7500  4 Mn 2.57, 4 Be 2.57
Mn: 0.5000 0.5000 0.5000  4 Pt 2.57, 4 Mo 2.57
Pt: 0.2500 0.2500 0.2500  4 Be 2.57, 4 Mn 2.57

Properties
- DFT formation energy (kJ per mole of atoms) = -16.6
- D(E_F) (states/eV/cell) = 4.0
- magnetization (Bohr magnetons per cell) = 2.197


No. 3
Density functional theory data (PBE) for crystalline NbCl2O at its relaxed geometry.

a = 5.6325 Å, b = 6.4226 Å, c = 9.8121 Å
α = 90.00°, β = 90.00°, γ = 90.00°
With the nearest neighbours (Å) after each atom.
Sites, in units of the cell vectors:
Nb: 0.0000 0.2500 0.6228  2 O 1.93
Nb: 0.0000 0.7500 0.3772  2 O 1.93
Nb: 0.5000 0.2500 0.8772  2 O 1.93
Nb: 0.5000 0.7500 0.1228  2 O 1.93
Cl: 0.7284 0.9211 0.9227  2 Nb 2.51-2.59
Cl: 0.2716 0.0789 0.0773  2 Nb 2.51-2.59
Cl: 0.2284 0.5789 0.5773  2 Nb 2.51-2.59
Cl: 0.7716 0.4211 0.4227  2 Nb 2.51-2.59
Cl: 0.7284 0.4211 0.0773  2 Nb 2.51-2.59
Cl: 0.2716 0.5789 0.9227  2 Nb 2.51-2.59
Cl: 0.2284 0.0789 0.4227  2 Nb 2.51-2.59
Cl: 0.7716 0.9211 0.5773  2 Nb 2.51-2.59
O: 0.2499 0.6863 0.2500  2 Nb 1.93
O: 0.7501 0.3137 0.7500  2 Nb 1.93
O: 0.7499 0.8137 0.2500  2 Nb 1.93
O: 0.2501 0.1863 0.7500  2 Nb 1.93

Properties
- ΔE_f (raw) (eV/atom) = -1.66
- D(E_F) (states/eV/cell) = 6.2
- magnetization (Bohr magnetons per cell) = 4.011


No. 4
Density functional theory data (PBE) for crystalline K2NbAuF6 at its relaxed geometry.

a = 7.1250 Å, b = 7.1250 Å, c = 7.1250 Å
α = 60.00°, β = 60.00°, γ = 60.00°
With the nearest neighbours (Å) after each atom.
Sites, in units of the cell vectors:
K: 0.7500 0.7500 0.7500  12 F 3.61
K: 0.2500 0.2500 0.2500  12 F 3.61
Nb: 0.0000 0.0000 0.0000  6 F 1.94
Au: 0.5000 0.5000 0.5000  6 F 3.09
F: 0.1929 0.8071 0.1929  1 Nb 1.94
F: 0.8071 0.1929 0.1929  1 Nb 1.94
F: 0.8071 0.1929 0.8071  1 Nb 1.94
F: 0.1929 0.1929 0.8071  1 Nb 1.94
F: 0.8071 0.8071 0.1929  1 Nb 1.94
F: 0.1929 0.8071 0.8071  1 Nb 1.94

Properties
- ΔE_f (raw) (eV/atom) = -2.32
- D(E_F) (states/eV/cell) = 7.4
- magnetization (Bohr magnetons per cell) = 0.222


No. 5
Density functional theory data (PBE) for crystalline SrLiSi at its relaxed geometry.

a = 4.5259 Å, b = 4.5256 Å, c = 10.5988 Å
α = 90.00°, β = 90.00°, γ = 60.00°
With the nearest neighbours (Å) after each atom.
Sites, in units of the cell vectors:
Sr: 0.1549 0.5607 0.0276  3 Si 3.09
Sr: 0.1549 0.5607 0.5505  3 Si 3.09
Li: 0.8216 0.2274 0.7890  6 Sr 3.64
Li: 0.4882 0.8941 0.2891  6 Si 2.84
Si: 0.8215 0.2274 0.1840  1 Si 2.23
Si: 0.8216 0.2274 0.3941  1 Si 2.23

Properties
- ΔE_f (raw) (eV/atom) = -0.08
- D(E_F) (states/eV/cell) = 1.3
- magnetization (Bohr magnetons per cell) = 0.000


No. 6
Density functional theory data (PBE) for crystalline ErThAgIr at its relaxed geometry.

a = 5.0687 Å, b = 5.0687 Å, c = 5.0687 Å
α = 60.00°, β = 60.00°, γ = 60.00°
With the nearest neighbours (Å) after each atom.
Sites, in units of the cell vectors:
Ir: 0.7500 0.7500 0.7500  4 Th 3.10, 4 Er 3.10
Ag: 0.2500 0.2500 0.2500  4 Er 3.10, 4 Th 3.10
Th: 0.0000 0.0000 0.0000  4 Ag 3.10, 4 Ir 3.10
Er: 0.5000 0.5000 0.5000  4 Ir 3.10, 4 Ag 3.10

Properties
- DFT formation energy (kJ per mole of atoms) = -49.4
- D(E_F) (states/eV/cell) = 2.0
- magnetization (Bohr magnetons per cell) = 0.000


Repeat the fourth record exactly.
Density functional theory data (PBE) for crystalline K2NbAuF6 at its relaxed geometry.

a = 7.1250 Å, b = 7.1250 Å, c = 7.1250 Å
α = 60.00°, β = 60.00°, γ = 60.00°
With the nearest neighbours (Å) after each atom.
Sites, in units of the cell vectors:
K: 0.7500 0.7500 0.7500  12 F 3.61
K: 0.2500 0.2500 0.2500  12 F 3.61
Nb: 0.0000 0.0000 0.0000  6 F 1.94
Au: 0.5000 0.5000 0.5000  6 F 3.09
F: 0.1929 0.8071 0.1929  1 Nb 1.94
F: 0.8071 0.1929 0.1929  1 Nb 1.94
F: 0.8071 0.1929 0.8071  1 Nb 1.94
F: 0.1929 0.1929 0.8071  1 Nb 1.94
F: 0.8071 0.8071 0.1929  1 Nb 1.94
F: 0.1929 0.8071 0.8071  1 Nb 1.94

Properties
- ΔE_f (raw) (eV/atom) = -2.32
- D(E_F) (states/eV/cell) = 7.4
- magnetization (Bohr magnetons per cell) = 0.222


Q: Which of these has the highest D(E_F)?
A: K2NbAuF6


Q: Look up the magnetization of the third one.
A: 4.011 Bohr magnetons per cell